[1]
First-principles (GGA-PBE) data for crystalline CuReTe2 at its relaxed geometry, as listed in the Alexandria database.

Computed properties:
The calculation puts the density of states at the Fermi level at 3.965 states/eV/f.u. As for the formation energy (no corrections): 0.618 eV per atom. The calculation puts the raw total energy at -20.4 eV/cell.

Cell: 4.319 3.383 5.565 Å, 90.00 90.17 90.00°
Sites, in units of the cell vectors:
Cu  0.000  0.000  0.000
Re  0.500  0.500  0.500
Te  0.000  0.000  0.500
Te  0.500  0.500  0.000



[2]
First-principles (GGA-PBE) data for crystalline CuReTe2 at its relaxed geometry, as listed in the Alexandria database.

Computed properties:
The calculation puts the density of states at the Fermi level at 2.397 states/eV/f.u. As for the formation energy (no corrections): 0.358 eV per atom. The calculation puts the raw total energy at -21.4 eV/cell.

Cell: 4.404 4.404 6.962 Å, 101.07 101.07 45.79°
Sites, in units of the cell vectors:
Cu  0.000  0.000  0.000
Re  0.260  0.260  0.845
Te  0.525  0.525  0.631
Te  0.742  0.742  0.150



[3]
First-principles (GGA-PBE) data for crystalline CuReTe2 at its relaxed geometry, as listed in the Alexandria database.

Computed properties:
The calculation puts the density of states at the Fermi level at 3.176 states/eV/f.u. As for the formation energy (no corrections): 0.359 eV per atom. The calculation puts the raw total energy at -21.4 eV/cell.

Cell: 3.366 3.366 7.792 Å, 90.00 90.00 90.00°
Sites, in units of the cell vectors:
Cu  0.000  0.000  0.000
Re  0.500  0.500  0.180
Te  0.000  0.000  0.369
Te  0.500  0.500  0.832



[4]
First-principles (GGA-PBE) data for crystalline Cu3ReTe at its relaxed geometry, as listed in the Alexandria database.

Computed properties:
The calculation puts the density of states at the Fermi level at 4.074 states/eV/f.u. As for the formation energy (no corrections): 1.371 eV per atom. The calculation puts the raw total energy at -21.0 eV/cell.

Cell: 4.694 4.694 4.694 Å, 90.00 90.00 90.00°
Sites, in units of the cell vectors:
Cu  0.000  0.000  0.500
Cu  0.000  0.500  0.000
Cu  0.500  0.000  0.000
Re  0.000  0.000  0.000
Te  0.500  0.500  0.500



[5]
First-principles (GGA-PBE) data for crystalline CuReTe2 at its relaxed geometry, as listed in the Alexandria database.

Computed properties:
The calculation puts the density of states at the Fermi level at 3.806 states/eV/f.u. As for the formation energy (no corrections): 1.163 eV per atom. The calculation puts the raw total energy at -18.2 eV/cell.

Cell: 4.800 4.800 4.800 Å, 60.00 60.00 60.00°
Sites, in units of the cell vectors:
Cu  0.000  0.000  0.000
Re  0.250  0.250  0.250
Te  0.500  0.500  0.500
Te  0.750  0.750  0.750



[6]
First-principles (GGA-PBE) data for crystalline Cu2ReTe at its relaxed geometry, as listed in the Alexandria database.

Computed properties:
The calculation puts the density of states at the Fermi level at 4.225 states/eV/f.u. As for the formation energy (no corrections): 0.654 eV per atom. The calculation puts the raw total energy at -21.2 eV/cell.

Cell: 4.453 4.453 4.453 Å, 60.00 60.00 60.00°
Sites, in units of the cell vectors:
Cu  0.000  0.000  0.000
Cu  0.250  0.250  0.250
Re  0.500  0.500  0.500
Te  0.750  0.750  0.750



[7]
First-principles (GGA-PBE) data for crystalline Cu2ReTe at its relaxed geometry, as listed in the Alexandria database.

Computed properties:
The calculation puts the density of states at the Fermi level at 2.892 states/eV/f.u. As for the formation energy (no corrections): 0.526 eV per atom. The calculation puts the raw total energy at -21.7 eV/cell.

Cell: 4.811 4.811 4.363 Å, 107.67 107.67 40.89°
Sites, in units of the cell vectors:
Cu  0.000  0.000  0.000
Cu  0.738  0.738  0.141
Re  0.234  0.234  0.650
Te  0.494  0.494  0.484



[8]
First-principles (GGA-PBE) data for crystalline Cu4Re2Te at its relaxed geometry, as listed in the Alexandria database.

Computed properties:
The calculation puts the density of states at the Fermi level at 4.503 states/eV/f.u. As for the formation energy (no corrections): 1.454 eV per atom. The calculation puts the raw total energy at -34.2 eV/cell.

Cell: 7.074 7.074 7.074 Å, 139.65 139.65 58.39°
Sites, in units of the cell vectors:
Cu  0.000  0.500  0.500
Cu  0.206  0.206  0.000
Cu  0.500  0.000  0.500
Cu  0.794  0.794  0.000
Re  0.408  0.408  0.000
Re  0.592  0.592  0.000
Te  0.000  0.000  0.000